An optimized crystal structure of EuThGa2, computed with PBE.

Cell: 5.2368 5.2368 5.2368 Å, 60.00 60.00 60.00°
Last column: magnetic moment on the atom in μB.
Fractional positions:
1 Th 0.5000 0.5000 0.5000  -0.04
2 Eu 0.0000 0.0000 0.0000  -6.78
3 Ga 0.2500 0.2500 0.2500  0.01
4 Ga 0.7500 0.7500 0.7500  0.01

Properties
Its total energy is -6.334 eV/atom. The calculation puts the density at 8.56 Mg/m³. The calculation puts the formation energy at -1.59 eV/f.u. The calculation puts the energy above the most stable polymorph in this dataset at 40 meV per atom.

An optimized crystal structure of Ta3GeRu, computed with PBE.

Cell: 4.6847 4.6847 4.6847 Å, 90.00 90.00 90.00°
Fractional positions:
1 Ru 0.5000 0.5000 0.5000
2 Ta 0.5000 0.0000 0.0000
3 Ta 0.0000 0.5000 0.0000
4 Ge 0.0000 0.0000 0.0000
5 Ta 0.0000 0.0000 0.5000

Properties
Its total energy is -8.637 eV/atom. The calculation puts the density at 11.57 Mg/m³. The calculation puts the formation energy at 6.26 eV/f.u. The calculation puts the energy above the most stable polymorph in this dataset at 176 meV per atom.

An optimized crystal structure of CsHfSe3, computed with PBE.

Cell: 5.9806 5.9806 9.7972 Å, 107.77 107.77 90.00°
Fractional positions:
1 Se 0.6156 0.8952 0.7904
2 Cs 0.6410 0.1410 0.2819
3 Hf 0.2500 0.7500 0.5000
4 Cs 0.8590 0.3590 0.7181
5 Hf 0.0000 0.0000 0.0000
6 Se 0.2699 0.2699 0.5397
7 Se 0.7301 0.7301 0.4603
8 Se 0.1748 0.8952 0.7904
9 Se 0.1048 0.8252 0.2096
10 Se 0.1048 0.3844 0.2096

Properties
Its total energy is -4.982 eV/atom. The calculation puts the density at 5.76 Mg/m³. Its formation energy from raw total energies is -0.730 eV/atom. The calculation puts the energy above the most stable polymorph in this dataset at 375 meV per atom.

An optimized crystal structure of MnCo2Pb2, computed with PBE.

Cell: 3.2864 3.2864 8.4509 Å, 78.79 78.79 90.00°
Last column: magnetic moment on the atom in μB.
Fractional positions:
1 Co 0.2500 0.7500 0.5000  1.63
2 Mn 0.0000 0.0000 0.0000  0.02
3 Co 0.7500 0.2500 0.5000  1.63
4 Pb 0.3963 0.3963 0.2073  -0.01
5 Pb 0.6037 0.6037 0.7927  -0.01

Properties
Its total energy is -5.405 eV/atom. The calculation puts the density at 11.11 Mg/m³. The calculation puts the formation energy at 3.77 eV/f.u. The calculation puts the energy above the most stable polymorph in this dataset at 115 meV per atom.

An optimized crystal structure of SbPdC2, computed with PBE.

Cell: 4.8992 4.8992 6.1017 Å, 66.33 66.33 90.00°
Fractional positions:
1 C 0.3750 0.3918 0.7500
2 C 0.1418 0.6250 0.2500
3 Pd 0.5000 0.5000 0.0000
4 Sb 0.0000 0.0000 0.0000
5 Pd 0.2500 0.7500 0.5000
6 C 0.6082 0.1250 0.2500
7 C 0.8750 0.8582 0.7500
8 Sb 0.7500 0.2500 0.5000

Properties
Its total energy is -5.663 eV/atom. The calculation puts the density at 6.95 Mg/m³. Its formation energy from raw total energies is 1.278 eV/atom.

An optimized crystal structure of TaMn2SnH, computed with PBE.

Cell: 4.0024 4.0024 4.0449 Å, 90.00 90.00 90.00°
Last column: magnetic moment on the atom in μB.
Fractional positions:
1 Ta 0.0000 0.0000 0.5000  -0.29
2 Mn 0.5000 0.0000 0.0000  2.23
3 Sn 0.5000 0.5000 0.5000  -0.06
4 Mn 0.0000 0.5000 0.0000  2.23
5 H 0.0000 0.0000 0.0000  -0.01

Properties
Its total energy is -7.470 eV/atom. The calculation puts the density at 10.52 Mg/m³.

An optimized crystal structure of CuRe2Hg, computed with PBE.

Cell: 2.7463 2.7463 9.4683 Å, 90.00 90.00 114.81°
Fractional positions:
1 Hg 0.5000 0.5000 0.7384
2 Cu 0.0000 0.0000 0.4843
3 Re 0.0000 0.0000 0.0250
4 Re 0.5000 0.5000 0.2524

Properties
Its total energy is -6.836 eV/atom. The calculation puts the density at 16.31 Mg/m³. The calculation puts the formation energy at 1.95 eV/f.u.

An optimized crystal structure of Y2GaNi2, computed with PBE.

Cell: 4.1920 5.3782 5.3782 Å, 60.02 67.06 67.06°
Fractional positions:
1 Ga 0.0000 0.0000 0.0000
2 Y 0.2018 0.2982 0.2982
3 Ni 0.5000 0.2682 0.7318
4 Ni 0.5000 0.7318 0.2682
5 Y 0.7982 0.7018 0.7018

Properties
Its total energy is -6.069 eV/atom. The calculation puts the density at 6.46 Mg/m³. The calculation puts the formation energy at -2.83 eV/f.u.

An optimized crystal structure of MnGaGe3, computed with PBE.

Cell: 4.9117 4.9117 4.9117 Å, 90.00 90.00 90.00°
Last column: magnetic moment on the atom in μB.
Fractional positions:
1 Mn 0.5000 0.5000 0.5000  4.31
2 Ga 0.0000 0.0000 0.0000  0.01
3 Ge 0.0000 0.5000 0.0000  -0.07
4 Ge 0.5000 0.0000 0.0000  -0.06
5 Ge 0.0000 0.0000 0.5000  -0.05

Properties
Its total energy is -4.331 eV/atom. The calculation puts the density at 4.80 Mg/m³. The calculation puts the formation energy at 4.39 eV/f.u. The calculation puts the energy above the most stable polymorph in this dataset at 657 meV per atom.

An optimized crystal structure of ZrCdW3, computed with PBE.

Cell: 4.8428 4.8428 4.8428 Å, 90.00 90.00 90.00°
Fractional positions:
1 Zr 0.5000 0.5000 0.5000
2 W 0.5000 0.0000 0.0000
3 W 0.0000 0.0000 0.5000
4 Cd 0.0000 0.0000 0.0000
5 W 0.0000 0.5000 0.0000

Properties
Its total energy is -7.101 eV/atom. The calculation puts the density at 11.04 Mg/m³. The calculation puts the formation energy at 12.82 eV/f.u. The calculation puts the energy above the most stable polymorph in this dataset at 144 meV per atom.

An optimized crystal structure of La2Mg15Zn2, computed with PBE.

Cell: 7.7462 7.7462 7.7462 Å, 82.36 82.36 82.36°
Fractional positions:
1 Mg 0.7037 0.0000 0.2963
2 Mg 0.8431 0.3494 0.3494
3 Mg 0.5000 0.0000 0.0000
4 Mg 0.0000 0.0000 0.5000
5 Mg 0.3494 0.3494 0.8431
6 La 0.3243 0.3243 0.3243
7 Mg 0.1569 0.6506 0.6506
8 Mg 0.0000 0.2963 0.7037
9 Zn 0.9061 0.9061 0.9061
10 Mg 0.0000 0.7037 0.2963
11 Mg 0.3494 0.8431 0.3494
12 Mg 0.2963 0.7037 0.0000
13 Mg 0.6506 0.1569 0.6506
14 Mg 0.0000 0.5000 0.0000
15 Zn 0.0939 0.0939 0.0939
16 Mg 0.6506 0.6506 0.1569
17 Mg 0.7037 0.2963 0.0000
18 Mg 0.2963 0.0000 0.7037
19 La 0.6757 0.6757 0.6757

Properties
Its total energy is -1.981 eV/atom. The calculation puts the density at 2.83 Mg/m³. The calculation puts the formation energy at -1.32 eV/f.u.

An optimized crystal structure of Sc4SiSnN, computed with PBE.

Cell: 6.0931 6.1005 7.9233 Å, 90.00 112.61 90.00°
Fractional positions:
1 Sc 0.4043 0.7500 0.8086
2 Sn 0.6027 0.7500 0.2054
3 Si 0.8871 0.7500 0.7741
4 Sc 0.5000 0.5000 0.5000
5 N 0.2476 0.7500 0.4951
6 Sn 0.3973 0.2500 0.7946
7 Sc 0.9141 0.2500 0.8282
8 N 0.7524 0.2500 0.5049
9 Si 0.1129 0.2500 0.2259
10 Sc 0.0000 0.0000 0.5000
11 Sc 0.0859 0.7500 0.1718
12 Sc 0.5957 0.2500 0.1914
13 Sc 0.5000 0.0000 0.5000
14 Sc 0.0000 0.5000 0.5000

Properties
Its total energy is -7.155 eV/atom. The calculation puts the density at 4.16 Mg/m³. Its formation energy from raw total energies is -1.001 eV/atom.

An optimized crystal structure of MgBeZn2, computed with PBE.

Cell: 2.8157 3.0962 6.6467 Å, 90.00 90.00 90.00°
Fractional positions:
1 Zn 0.0000 0.0000 0.0460
2 Mg 0.5000 0.5000 0.7500
3 Be 0.5000 0.5000 0.2500
4 Zn 0.0000 0.0000 0.4540

Properties
Its total energy is -1.858 eV/atom. The calculation puts the density at 4.70 Mg/m³. The calculation puts the formation energy at 0.44 eV/f.u. The calculation puts the energy above the most stable polymorph in this dataset at 0 meV per atom.

An optimized crystal structure of Nd3HgO6, computed with PBE.

Cell: 5.8277 7.4894 7.4894 Å, 102.00 90.00 90.00°
Fractional positions:
1 Nd 0.9715 0.6835 0.9111
2 Nd 0.4148 0.3981 0.6019
3 O 0.1943 0.6745 0.6427
4 O 0.6943 0.6427 0.6745
5 O 0.6943 0.3255 0.3573
6 O 0.6320 0.2203 0.7797
7 O 0.2442 0.0219 0.9781
8 Hg 0.9723 0.1548 0.8452
9 Nd 0.4715 0.9111 0.6835
10 O 0.1952 0.1016 0.5784
11 O 0.1320 0.7797 0.2203
12 Hg 0.4723 0.8452 0.1548
13 O 0.1943 0.3573 0.3255
14 Nd 0.4715 0.3165 0.0889
15 O 0.7442 0.9781 0.0219
16 Nd 0.9148 0.6019 0.3981
17 O 0.6952 0.8984 0.4216
18 O 0.1952 0.4216 0.8984
19 O 0.6952 0.5784 0.1016
20 Nd 0.9715 0.0889 0.3165

Properties
Its total energy is -6.946 eV/atom. The calculation puts the density at 7.58 Mg/m³. Its formation energy from raw total energies is -2.511 eV/atom.

An optimized crystal structure of CeSmCoAu, computed with PBE.

Cell: 5.0369 5.0369 5.0369 Å, 60.00 60.00 60.00°
Last column: magnetic moment on the atom in μB.
Fractional positions:
1 Au 0.5000 0.5000 0.5000  -0.02
2 Ce 0.2500 0.2500 0.2500  -0.69
3 Co 0.0000 0.0000 0.0000  0.72
4 Sm 0.7500 0.7500 0.7500  -0.10

Properties
Its total energy is -5.551 eV/atom. The calculation puts the density at 10.04 Mg/m³. The calculation puts the formation energy at -1.17 eV/f.u.

An optimized crystal structure of SrCrH2N, computed with PBE.

Cell: 3.8221 3.8221 3.7841 Å, 90.00 90.00 90.00°
Last column: magnetic moment on the atom in μB.
Fractional positions:
1 Sr 0.5000 0.5000 0.5000  0.01
2 N 0.0000 0.0000 0.5000  -0.14
3 H 0.5000 0.0000 0.0000  -0.02
4 H 0.0000 0.5000 0.0000  -0.02
5 Cr 0.0000 0.0000 0.0000  2.17

Properties
Its total energy is -5.747 eV/atom. The calculation puts the density at 4.68 Mg/m³.